(1)
# Li2AlCd4 | Alexandria via LeMat-Bulk | GGA-PBE | optimized geometry
data_Li2AlCd4
_cell_length_a 5.6195
_cell_length_b 9.2810
_cell_length_c 5.5554
_cell_angle_alpha 90.00
_cell_angle_beta 93.77
_cell_angle_gamma 90.00
_symmetry_space_group_name_H-M 'P 1'
_symmetry_Int_Tables_number 1
loop_
_symmetry_equiv_pos_as_xyz
'x,y,z'
loop_
_atom_site_label
_atom_site_fract_x
_atom_site_fract_y
_atom_site_fract_z
_atom_site_occupancy
Li1 0.0276 0.0000 0.2475 1
Li2 0.4724 0.5000 0.7525 1
Li3 0.5276 0.5000 0.2475 1
Li4 0.9724 0.0000 0.7525 1
Al1 0.0000 0.5000 0.0000 1
Al2 0.5000 0.0000 0.0000 1
Cd1 0.0000 0.3363 0.5000 1
Cd2 0.0000 0.6637 0.5000 1
Cd3 0.2500 0.2500 0.0000 1
Cd4 0.2500 0.7500 0.0000 1
Cd5 0.5000 0.1637 0.5000 1
Cd6 0.5000 0.8363 0.5000 1
Cd7 0.7500 0.2500 0.0000 1
Cd8 0.7500 0.7500 0.0000 1
# E_form   -0.07 eV per atom
# Symmetry   C2/m

***

(2)
# Li3AlCd | Alexandria via LeMat-Bulk | GGA-PBE | optimized geometry
data_Li3AlCd
_cell_length_a 4.9158
_cell_length_b 4.9158
_cell_length_c 4.9158
_cell_angle_alpha 90.00
_cell_angle_beta 90.00
_cell_angle_gamma 90.00
_symmetry_space_group_name_H-M 'P 1'
_symmetry_Int_Tables_number 1
loop_
_symmetry_equiv_pos_as_xyz
'x,y,z'
loop_
_atom_site_label
_atom_site_fract_x
_atom_site_fract_y
_atom_site_fract_z
_atom_site_occupancy
Li1 0.0000 0.0000 0.5000 1
Li2 0.0000 0.5000 0.0000 1
Li3 0.5000 0.0000 0.0000 1
Al1 0.5000 0.5000 0.5000 1
Cd1 0.0000 0.0000 0.0000 1
# ΔE to the lowest computed polymorph   51.60 kJ per mole of atoms
# E_form   0.34 eV per atom
# Symmetry   Pm-3m

***

(3)
# Li6AlCd2 | Alexandria via LeMat-Bulk | GGA-PBE | optimized geometry
data_Li6AlCd2
_cell_length_a 8.0995
_cell_length_b 8.0995
_cell_length_c 2.9171
_cell_angle_alpha 90.00
_cell_angle_beta 90.00
_cell_angle_gamma 120.00
_symmetry_space_group_name_H-M 'P 1'
_symmetry_Int_Tables_number 1
loop_
_symmetry_equiv_pos_as_xyz
'x,y,z'
loop_
_atom_site_label
_atom_site_fract_x
_atom_site_fract_y
_atom_site_fract_z
_atom_site_occupancy
Li1 0.0000 0.3012 0.0000 1
Li2 0.0000 0.6457 0.5000 1
Li3 0.3012 0.0000 0.0000 1
Li4 0.3543 0.3543 0.5000 1
Li5 0.6457 0.0000 0.5000 1
Li6 0.6988 0.6988 0.0000 1
Al1 0.0000 0.0000 0.5000 1
Cd1 0.3333 0.6667 0.0000 1
Cd2 0.6667 0.3333 0.0000 1
# ΔE to the lowest computed polymorph   4.05 kJ per mole of atoms
# E_form   -0.14 eV per atom
# Symmetry   P-62m

***

(4)
# LiAl2Cd2 | Alexandria via LeMat-Bulk | GGA-PBE | optimized geometry
data_LiAl2Cd2
_cell_length_a 7.8295
_cell_length_b 7.8295
_cell_length_c 3.4640
_cell_angle_alpha 90.00
_cell_angle_beta 90.00
_cell_angle_gamma 90.00
_symmetry_space_group_name_H-M 'P 1'
_symmetry_Int_Tables_number 1
loop_
_symmetry_equiv_pos_as_xyz
'x,y,z'
loop_
_atom_site_label
_atom_site_fract_x
_atom_site_fract_y
_atom_site_fract_z
_atom_site_occupancy
Li1 0.0000 0.0000 0.0000 1
Li2 0.5000 0.5000 0.0000 1
Al1 0.1637 0.3363 0.5000 1
Al2 0.3363 0.8363 0.5000 1
Al3 0.6637 0.1637 0.5000 1
Al4 0.8363 0.6637 0.5000 1
Cd1 0.1378 0.6378 0.0000 1
Cd2 0.3622 0.1378 0.0000 1
Cd3 0.6378 0.8622 0.0000 1
Cd4 0.8622 0.3622 0.0000 1
# ΔE to the lowest computed polymorph   9.49 kJ per mole of atoms
# E_form   0.13 eV per atom
# Symmetry   P4/mbm